Record 1
This record from Alexandria describes a relaxed structure of Ca2EuTe. The functional is PBE.

Summary:
E_form (uncorrected), kJ/mol of formula units: -259
Offset from the most stable computed form, kJ per mole of atoms: 0.00

Unit cell a=4.2076 b=4.2076 c=31.9191 alpha=90.00 beta=90.00 gamma=120.00
Fractional positions:
Ca 0.0000 0.0000 0.2286
Ca 0.0000 0.0000 0.7714
Ca 0.3333 0.6667 0.4380
Ca 0.3333 0.6667 0.8953
Ca 0.6667 0.3333 0.1047
Ca 0.6667 0.3333 0.5620
Eu 0.0000 0.0000 0.0000
Eu 0.3333 0.6667 0.6667
Eu 0.6667 0.3333 0.3333
Te 0.0000 0.0000 0.5000
Te 0.3333 0.6667 0.1667
Te 0.6667 0.3333 0.8333

Record 2
This record from Alexandria describes a relaxed structure of CaEuTe. The functional is PBE.

Summary:
E_form (uncorrected), kJ/mol of formula units: -278
Offset from the most stable computed form, kJ per mole of atoms: 0.00

Unit cell a=4.3605 b=4.3605 c=7.3090 alpha=90.00 beta=90.00 gamma=120.00
Fractional positions:
Ca 0.0000 0.0000 0.0000
Eu 0.6667 0.3333 0.4623
Te 0.3333 0.6667 0.7422

Record 3
This record from Alexandria describes a relaxed structure of CaEuTh. The functional is PBE.

Summary:
Offset from the most stable computed form, kJ per mole of atoms: 0.00
Calculated formation energy, eV per formula unit: 0.4

Unit cell a=3.6719 b=3.6719 c=9.3897 alpha=90.00 beta=90.00 gamma=120.00
Fractional positions:
Ca 0.0000 0.0000 0.0000
Eu 0.3333 0.6667 0.6425
Th 0.6667 0.3333 0.3260

Record 4
This record from Alexandria describes a relaxed structure of CaEuTh. The functional is PBE.

Summary:
Offset from the most stable computed form, kJ per mole of atoms: 3.79
Calculated formation energy, eV per formula unit: 0.5

Unit cell a=3.6763 b=3.6763 c=16.4772 alpha=90.00 beta=90.00 gamma=90.00
Fractional positions:
Ca 0.0000 0.0000 0.0000
Ca 0.5000 0.5000 0.5000
Eu 0.0000 0.0000 0.6841
Eu 0.5000 0.5000 0.1841
Th 0.0000 0.0000 0.3387
Th 0.5000 0.5000 0.8387

Record 5
This record from Alexandria describes a relaxed structure of CaEuTl4. The functional is PBE.

Summary:
Calculated formation energy, eV per formula unit: -1.3

Unit cell a=6.4154 b=6.4154 c=6.4154 alpha=60.00 beta=60.00 gamma=60.00
Fractional positions:
Ca 0.0000 0.0000 0.0000
Eu 0.7500 0.7500 0.7500
Tl 0.3750 0.3750 0.3750
Tl 0.3750 0.3750 0.8749
Tl 0.3750 0.8749 0.3750
Tl 0.8749 0.3750 0.3750

Record 6
This record from Alexandria describes a relaxed structure of CaEu2Tl. The functional is PBE.

Summary:
Offset from the most stable computed form, kJ per mole of atoms: 0.00
Calculated formation energy, eV per formula unit: -0.9

Unit cell a=4.0259 b=4.0259 c=9.2380 alpha=90.00 beta=90.00 gamma=90.00
Fractional positions:
Ca 0.0000 0.0000 0.0000
Eu 0.5000 0.5000 0.2985
Eu 0.5000 0.5000 0.7015
Tl 0.0000 0.0000 0.5000

Record 7
This record from Alexandria describes a relaxed structure of CaEu2Tl. The functional is PBE.

Summary:
Offset from the most stable computed form, kJ per mole of atoms: 4.37
Calculated formation energy, eV per formula unit: -0.7

Unit cell a=5.1332 b=5.1332 c=5.1932 alpha=90.00 beta=90.00 gamma=90.00
Fractional positions:
Ca 0.0000 0.0000 0.0000
Eu 0.0000 0.5000 0.5000
Eu 0.5000 0.0000 0.5000
Tl 0.5000 0.5000 0.0000

Record 8
This record from Alexandria describes a relaxed structure of CaEuTl2. The functional is PBE.

Summary:
Calculated formation energy, eV per formula unit: -1.8

Unit cell a=3.9058 b=3.9058 c=7.9907 alpha=90.00 beta=90.00 gamma=90.00
Fractional positions:
Ca 0.0000 0.0000 0.0000
Eu 0.0000 0.0000 0.5000
Tl 0.5000 0.5000 0.2367
Tl 0.5000 0.5000 0.7633

Record 9
This record from Alexandria describes a relaxed structure of CaEu2Tl. The functional is PBE.

Summary:
Offset from the most stable computed form, kJ per mole of atoms: 5.86
Calculated formation energy, eV per formula unit: -0.6

Unit cell a=8.2172 b=8.2172 c=8.2172 alpha=90.00 beta=90.00 gamma=90.00
Fractional positions:
Ca 0.0000 0.0000 0.0000
Ca 0.0000 0.5000 0.5000
Ca 0.5000 0.0000 0.5000
Ca 0.5000 0.5000 0.0000
Eu 0.2500 0.2500 0.2500
Eu 0.2500 0.2500 0.7500
Eu 0.2500 0.7500 0.2500
Eu 0.2500 0.7500 0.7500
Eu 0.7500 0.2500 0.2500
Eu 0.7500 0.2500 0.7500
Eu 0.7500 0.7500 0.2500
Eu 0.7500 0.7500 0.7500
Tl 0.0000 0.0000 0.5000
Tl 0.0000 0.5000 0.0000
Tl 0.5000 0.0000 0.0000
Tl 0.5000 0.5000 0.5000

Record 10
This record from Alexandria describes a relaxed structure of CaEuTmTl. The functional is PBE.

Summary:
Calculated formation energy, eV per formula unit: -0.3

Unit cell a=7.9545 b=7.9545 c=7.9545 alpha=90.00 beta=90.00 gamma=90.00
Fractional positions:
Ca 0.0000 0.0000 0.0000
Ca 0.0000 0.5000 0.5000
Ca 0.5000 0.0000 0.5000
Ca 0.5000 0.5000 0.0000
Eu 0.2500 0.2500 0.2500
Eu 0.2500 0.7500 0.7500
Eu 0.7500 0.2500 0.7500
Eu 0.7500 0.7500 0.2500
Tm 0.2500 0.2500 0.7500
Tm 0.2500 0.7500 0.2500
Tm 0.7500 0.2500 0.2500
Tm 0.7500 0.7500 0.7500
Tl 0.0000 0.0000 0.5000
Tl 0.0000 0.5000 0.0000
Tl 0.5000 0.0000 0.0000
Tl 0.5000 0.5000 0.5000

Record 11
This record from Alexandria describes a relaxed structure of CaEuTlZn. The functional is PBE.

Summary:
Calculated formation energy, eV per formula unit: -1.4

Unit cell a=7.6695 b=7.6695 c=7.6695 alpha=90.00 beta=90.00 gamma=90.00
Fractional positions:
Ca 0.0000 0.0000 0.0000
Ca 0.0000 0.5000 0.5000
Ca 0.5000 0.0000 0.5000
Ca 0.5000 0.5000 0.0000
Eu 0.0000 0.0000 0.5000
Eu 0.0000 0.5000 0.0000
Eu 0.5000 0.0000 0.0000
Eu 0.5000 0.5000 0.5000
Tl 0.2500 0.2500 0.7500
Tl 0.2500 0.7500 0.2500
Tl 0.7500 0.2500 0.2500
Tl 0.7500 0.7500 0.7500
Zn 0.2500 0.2500 0.2500
Zn 0.2500 0.7500 0.7500
Zn 0.7500 0.2500 0.7500
Zn 0.7500 0.7500 0.2500

Record 12
This record from Alexandria describes a relaxed structure of Ca2EuTm. The functional is PBE.

Summary:
Offset from the most stable computed form, kJ per mole of atoms: 2.43
Calculated formation energy, eV per formula unit: 0.6

Unit cell a=8.4424 b=8.4424 c=8.4424 alpha=90.00 beta=90.00 gamma=90.00
Fractional positions:
Ca 0.2500 0.2500 0.2500
Ca 0.2500 0.2500 0.7500
Ca 0.2500 0.7500 0.2500
Ca 0.2500 0.7500 0.7500
Ca 0.7500 0.2500 0.2500
Ca 0.7500 0.2500 0.7500
Ca 0.7500 0.7500 0.2500
Ca 0.7500 0.7500 0.7500
Eu 0.0000 0.0000 0.0000
Eu 0.0000 0.5000 0.5000
Eu 0.5000 0.0000 0.5000
Eu 0.5000 0.5000 0.0000
Tm 0.0000 0.0000 0.5000
Tm 0.0000 0.5000 0.0000
Tm 0.5000 0.0000 0.0000
Tm 0.5000 0.5000 0.5000

Record 13
This record from Alexandria describes a relaxed structure of CaEuTm. The functional is PBE.

Summary:
Offset from the most stable computed form, kJ per mole of atoms: 0.64
Calculated formation energy, eV per formula unit: 0.3

Unit cell a=3.7151 b=3.7151 c=16.1986 alpha=90.00 beta=90.00 gamma=90.00
Fractional positions:
Ca 0.0000 0.0000 0.0000
Ca 0.5000 0.5000 0.5000
Eu 0.0000 0.0000 0.3169
Eu 0.5000 0.5000 0.8169
Tm 0.0000 0.0000 0.6623
Tm 0.5000 0.5000 0.1623

Record 14
This record from Alexandria describes a relaxed structure of CaEuTm2. The functional is PBE.

Summary:
Offset from the most stable computed form, kJ per mole of atoms: 5.43
Calculated formation energy, eV per formula unit: 0.8

Unit cell a=8.1884 b=8.1884 c=8.1884 alpha=90.00 beta=90.00 gamma=90.00
Fractional positions:
Ca 0.0000 0.0000 0.0000
Ca 0.0000 0.5000 0.5000
Ca 0.5000 0.0000 0.5000
Ca 0.5000 0.5000 0.0000
Eu 0.0000 0.0000 0.5000
Eu 0.0000 0.5000 0.0000
Eu 0.5000 0.0000 0.0000
Eu 0.5000 0.5000 0.5000
Tm 0.2500 0.2500 0.2500
Tm 0.2500 0.2500 0.7500
Tm 0.2500 0.7500 0.2500
Tm 0.2500 0.7500 0.7500
Tm 0.7500 0.2500 0.2500
Tm 0.7500 0.2500 0.7500
Tm 0.7500 0.7500 0.2500
Tm 0.7500 0.7500 0.7500

Record 15
This record from Alexandria describes a relaxed structure of CaEuTm2. The functional is PBE.

Summary:
Offset from the most stable computed form, kJ per mole of atoms: 2.67
Calculated formation energy, eV per formula unit: 0.7

Unit cell a=3.6343 b=3.6343 c=10.4893 alpha=90.00 beta=90.00 gamma=90.00
Fractional positions:
Ca 0.0000 0.0000 0.0000
Eu 0.0000 0.0000 0.5000
Tm 0.5000 0.5000 0.2576
Tm 0.5000 0.5000 0.7424

Record 16
This record from Alexandria describes a relaxed structure of Ca2EuTm. The functional is PBE.

Summary:
Offset from the most stable computed form, kJ per mole of atoms: 0.00
Calculated formation energy, eV per formula unit: 0.5

Unit cell a=4.0729 b=4.0729 c=9.1853 alpha=90.00 beta=90.00 gamma=90.00
Fractional positions:
Ca 0.0000 0.0000 0.2282
Ca 0.0000 0.0000 0.7718
Eu 0.5000 0.5000 0.5000
Tm 0.5000 0.5000 0.0000

Record 17
This record from Alexandria describes a relaxed structure of CaEuTm. The functional is PBE.

Summary:
Offset from the most stable computed form, kJ per mole of atoms: 0.00
Calculated formation energy, eV per formula unit: 0.3

Unit cell a=3.7111 b=3.7111 c=9.2618 alpha=90.00 beta=90.00 gamma=120.00
Fractional positions:
Ca 0.0000 0.0000 0.0000
Eu 0.3333 0.6667 0.6435
Tm 0.6667 0.3333 0.3262

Record 18
This record from Alexandria describes a relaxed structure of CaEuTm2. The functional is PBE.

Summary:
Offset from the most stable computed form, kJ per mole of atoms: 3.91
Calculated formation energy, eV per formula unit: 0.7

Unit cell a=5.1315 b=5.1315 c=5.2943 alpha=90.00 beta=90.00 gamma=90.00
Fractional positions:
Ca 0.0000 0.0000 0.0000
Eu 0.5000 0.5000 0.0000
Tm 0.0000 0.5000 0.5000
Tm 0.5000 0.0000 0.5000

Record 19
This record from Alexandria describes a relaxed structure of CaEuTm2. The functional is PBE.

Summary:
Offset from the most stable computed form, kJ per mole of atoms: 0.00
Calculated formation energy, eV per formula unit: 0.6

Unit cell a=3.6308 b=3.6308 c=36.3742 alpha=90.00 beta=90.00 gamma=120.00
Fractional positions:
Ca 0.0000 0.0000 0.0000
Ca 0.3333 0.6667 0.6667
Ca 0.6667 0.3333 0.3333
Eu 0.0000 0.0000 0.5000
Eu 0.3333 0.6667 0.1667
Eu 0.6667 0.3333 0.8333
Tm 0.0000 0.0000 0.2489
Tm 0.0000 0.0000 0.7511
Tm 0.3333 0.6667 0.4178
Tm 0.3333 0.6667 0.9156
Tm 0.6667 0.3333 0.0844
Tm 0.6667 0.3333 0.5822

Record 20
This record from Alexandria describes a relaxed structure of Ca2EuTm. The functional is PBE.

Summary:
Offset from the most stable computed form, kJ per mole of atoms: 2.52
Calculated formation energy, eV per formula unit: 0.6

Unit cell a=6.0114 b=6.0114 c=4.1587 alpha=90.00 beta=90.00 gamma=90.00
Fractional positions:
Ca 0.0000 0.5000 0.0000
Ca 0.5000 0.0000 0.0000
Eu 0.0000 0.0000 0.5000
Tm 0.5000 0.5000 0.5000